# 1
PrErTmHf after structural relaxation, computed with PBE.

The space group is F-43m (No. 216) and the conventional cell measures 7.7529, 7.7529 and 7.7529 Å, with angles of 90.00, 90.00 and 90.00 degrees. The asymmetric unit holds Pr at (0.0000, 0.0000, 0.0000), Er at (0.2500, 0.2500, 0.7500), Tm at (0.2500, 0.2500, 0.2500) and Hf at (0.0000, 0.0000, 0.5000).

# 2
AcPa2IrN5 after structural relaxation, computed with PBE.

As for the formation energy (no corrections): -1122 meV/atom.

The space group is I4/mcm (No. 140) and the conventional cell measures 6.6218, 6.6218 and 11.9760 Å, with angles of 90.00, 90.00 and 90.00 degrees. The asymmetric unit holds Ac at (0.0000, 0.0000, 0.2500), Pa at (0.1803, 0.3197, 0.0000), Ir at (0.0000, 0.5000, 0.2500), N at (0.0000, 0.0000, 0.0000) and N at (0.1398, 0.3602, 0.3775).

# 3
Ni2Hg2Ge after structural relaxation, computed with PBE.

The value obtained for the excess energy over the best structure of this formula in the dataset is 0 meV per atom.

The space group is P4/mbm (No. 127) and the conventional cell measures 6.2759, 6.2759 and 4.2036 Å, with angles of 90.00, 90.00 and 90.00 degrees. The asymmetric unit holds Ni at (0.1478, 0.3522, 0.0000), Hg at (0.1628, 0.6628, 0.5000) and Ge at (0.0000, 0.0000, 0.0000).

In order of appearance, V = 29.13 14.59 16.56 A^3/atom.
In order of appearance, D(E_F) = 32.0 22.1 4.2 states/eV per cell.
In order of appearance, E_tot = -5.65 -9.30 -3.26 eV/atom.